## MgCuP (PBE-GGA)

Data for MgCuP after structural relaxation.

E_tot, eV/f.u.: -11.835
Mass density, g cm⁻³: 4.4

Lattice parameters (Å, degrees): 3.9788 3.9788 6.5407 90.00 90.00 120.00
Space group P6_3mc (No. 186)
Inequivalent atoms, fractional coordinates:
Mg (0.0000, 0.0000, 0.0000) (multiplicity 2)
Cu (0.3333, 0.6667, 0.2996) (multiplicity 2)
P (0.3333, 0.6667, 0.6989) (multiplicity 2)

---

## SmMg2Au (PBE-GGA)

Data for SmMg2Au after structural relaxation.

Magnetization, Bohr magnetons per cell: 0.001
E_tot, eV/f.u.: -12.771
Mass density, g cm⁻³: 7.2

Lattice parameters (Å, degrees): 4.815 6.216 6.104 90.00 90.00 90.00
Space group Pmmn (No. 59, origin choice 2)
Inequivalent atoms, fractional coordinates:
Sm (0.250, 0.250, 0.083) (multiplicity 2)
Mg (0.250, 0.002, 0.625) (multiplicity 4)
Au (0.250, 0.750, 0.240) (multiplicity 2)

---

## Ho2PaN4 (PBE-GGA)

Data for Ho2PaN4 after structural relaxation.

Magnetization, Bohr magnetons per cell: 1.652
E_tot, eV/f.u.: -62.479
Mass density, g cm⁻³: 10.2

Lattice parameters (Å, degrees): 5.831 9.702 3.552 90.00 90.00 90.00
Space group Pbam (No. 55)
Inequivalent atoms, fractional coordinates:
Ho (0.060, 0.175, 0.000) (multiplicity 4)
Pa (0.000, 0.500, 0.500) (multiplicity 2)
N (0.157, 0.703, 0.500) (multiplicity 4)
N (0.240, 0.460, 0.000) (multiplicity 4)

---

## TaCdFePb (PBE-GGA)

Data for TaCdFePb after structural relaxation.

Energy above the lowest structure with this stoichiometry, eV per atom: 0.000
Magnetization, Bohr magnetons per cell: 3.731
E_tot, eV/f.u.: -21.794
Mass density, g cm⁻³: 12.4

Lattice parameters (Å, degrees): 6.681 6.681 6.681 90.00 90.00 90.00
Space group F-43m (No. 216)
Inequivalent atoms, fractional coordinates:
Ta (0.000, 0.000, 0.000) (multiplicity 4)
Cd (0.250, 0.250, 0.250) (multiplicity 4)
Fe (0.250, 0.250, 0.750) (multiplicity 4)
Pb (0.000, 0.000, 0.500) (multiplicity 4)

---

## PmFeTc (PBE-GGA)

Data for PmFeTc after structural relaxation.

Energy above the lowest structure with this stoichiometry, eV per atom: 0.000
Magnetization, Bohr magnetons per cell: 7.619
Calculated formation energy, eV per atom: 0.647
E_tot, eV/f.u.: -21.475
Mass density, g cm⁻³: 8.3

Lattice parameters (Å, degrees): 6.199 6.199 6.199 90.00 90.00 90.00
Space group F-43m (No. 216)
Inequivalent atoms, fractional coordinates:
Pm (0.000, 0.000, 0.000) (multiplicity 4)
Fe (0.250, 0.250, 0.250) (multiplicity 4)
Tc (0.000, 0.000, 0.500) (multiplicity 4)

---

## Li2ReBi (PBE-GGA)

Data for Li2ReBi after structural relaxation.

Magnetization, Bohr magnetons per cell: 0.039
E_tot, eV/f.u.: -18.586
Mass density, g cm⁻³: 10.1

Lattice parameters (Å, degrees): 6.459 6.459 6.459 90.00 90.00 90.00
Space group F-43m (No. 216)
Inequivalent atoms, fractional coordinates:
Li (0.000, 0.000, 0.000) (multiplicity 4)
Li (0.250, 0.250, 0.250) (multiplicity 4)
Re (0.250, 0.250, 0.750) (multiplicity 4)
Bi (0.000, 0.000, 0.500) (multiplicity 4)

---

## ErPuTl (PBE-GGA)

Data for ErPuTl after structural relaxation.

Energy above the lowest structure with this stoichiometry, eV per atom: 0.000
Magnetization, Bohr magnetons per cell: 25.717
E_tot, eV/f.u.: -20.482
Mass density, g cm⁻³: 10.3

Lattice parameters (Å, degrees): 7.342 7.342 7.342 90.00 90.00 90.00
Space group F-43m (No. 216)
Inequivalent atoms, fractional coordinates:
Er (0.000, 0.000, 0.000) (multiplicity 4)
Pu (0.000, 0.000, 0.500) (multiplicity 4)
Tl (0.250, 0.250, 0.250) (multiplicity 4)

---

## KWAuSe2S (PBE-GGA)

Data for KWAuSe2S after structural relaxation.

Magnetization, Bohr magnetons per cell: 7.994
E_tot, eV/f.u.: -29.802
Mass density, g cm⁻³: 7.0

Lattice parameters (Å, degrees): 3.927 14.987 9.889 90.00 90.00 90.00
Space group Cmcm (No. 63)
Inequivalent atoms, fractional coordinates:
K (0.000, 0.247, 0.250) (multiplicity 4)
W (0.000, 0.000, 0.000) (multiplicity 4)
Au (0.000, 0.444, 0.750) (multiplicity 4)
Se (0.000, 0.382, 0.516) (multiplicity 8)
S (0.000, 0.057, 0.750) (multiplicity 4)

---

## Zn2CoTc (PBE-GGA)

Data for Zn2CoTc after structural relaxation.

Energy above the lowest structure with this stoichiometry, eV per atom: 0.000
Magnetization, Bohr magnetons per cell: 8.014
Calculated formation energy, eV per atom: 0.126
E_tot, eV/f.u.: -19.493
Mass density, g cm⁻³: 9.1

Lattice parameters (Å, degrees): 5.955 5.955 5.955 90.00 90.00 90.00
Space group F-43m (No. 216)
Inequivalent atoms, fractional coordinates:
Zn (0.000, 0.000, 0.000) (multiplicity 4)
Zn (0.250, 0.250, 0.250) (multiplicity 4)
Co (0.000, 0.000, 0.500) (multiplicity 4)
Tc (0.250, 0.250, 0.750) (multiplicity 4)

---

## TbTaB (PBE-GGA)

Data for TbTaB after structural relaxation.

Energy above the lowest structure with this stoichiometry, eV per atom: 0.000
Magnetization, Bohr magnetons per cell: 0.000
E_tot, eV/f.u.: -22.136
Mass density, g cm⁻³: 10.9

Lattice parameters (Å, degrees): 5.973 5.973 5.973 90.00 90.00 90.00
Space group F-43m (No. 216)
Inequivalent atoms, fractional coordinates:
Tb (0.000, 0.000, 0.000) (multiplicity 4)
Ta (0.000, 0.000, 0.500) (multiplicity 4)
B (0.250, 0.250, 0.750) (multiplicity 4)

---

## Mg6ScAu (PBE-GGA)

Data for Mg6ScAu after structural relaxation.

Magnetization, Bohr magnetons per cell: 0.013
E_tot, eV/f.u.: -19.797
Mass density, g cm⁻³: 3.8

Lattice parameters (Å, degrees): 6.3279 6.3279 4.9262 90.00 90.00 120.00
Space group P-6m2 (No. 187)
Inequivalent atoms, fractional coordinates:
Mg (0.0016, 0.5008, 0.0000) (multiplicity 3)
Mg (0.3292, 0.1646, 0.5000) (multiplicity 3)
Sc (0.3333, 0.6667, 0.5000) (multiplicity 1)
Au (0.0000, 0.0000, 0.0000) (multiplicity 1)

---

## LuFeCuSi (PBE-GGA)

Data for LuFeCuSi after structural relaxation.

Energy above the lowest structure with this stoichiometry, eV per atom: 0.237
Magnetization, Bohr magnetons per cell: 9.408
E_tot, eV/f.u.: -21.575
Mass density, g cm⁻³: 8.5

Lattice parameters (Å, degrees): 6.319 6.319 6.319 90.00 90.00 90.00
Space group F-43m (No. 216)
Inequivalent atoms, fractional coordinates:
Lu (0.000, 0.000, 0.000) (multiplicity 4)
Fe (0.250, 0.250, 0.750) (multiplicity 4)
Cu (0.000, 0.000, 0.500) (multiplicity 4)
Si (0.250, 0.250, 0.250) (multiplicity 4)

---

## RbTaTe3Au (PBE-GGA)

Data for RbTaTe3Au after structural relaxation.

Magnetization, Bohr magnetons per cell: 2.353
E_tot, eV/f.u.: -27.477
Mass density, g cm⁻³: 7.7

Lattice parameters (Å, degrees): 4.017 16.813 10.867 90.00 90.00 90.00
Space group Cmcm (No. 63)
Inequivalent atoms, fractional coordinates:
Rb (0.000, 0.237, 0.250) (multiplicity 4)
Ta (0.000, 0.000, 0.000) (multiplicity 4)
Te (0.000, 0.071, 0.750) (multiplicity 4)
Te (0.000, 0.380, 0.531) (multiplicity 8)
Au (0.000, 0.455, 0.750) (multiplicity 4)

---

## KLaZnSe3 (PBE-GGA)

Data for KLaZnSe3 after structural relaxation.

Magnetization, Bohr magnetons per cell: 0.003
E_tot, eV/f.u.: -26.343
Mass density, g cm⁻³: 4.8

Lattice parameters (Å, degrees): 11.879 4.382 12.789 90.00 90.00 90.00
Space group Pnma (No. 62)
Inequivalent atoms, fractional coordinates:
K (0.171, 0.250, 0.003) (multiplicity 4)
La (0.019, 0.250, 0.676) (multiplicity 4)
Zn (0.249, 0.250, 0.296) (multiplicity 4)
Se (0.050, 0.750, 0.836) (multiplicity 4)
Se (0.110, 0.250, 0.440) (multiplicity 4)
Se (0.215, 0.750, 0.198) (multiplicity 4)

---

## ZrScAl2 (PBE-GGA)

Data for ZrScAl2 after structural relaxation.

Energy above the lowest structure with this stoichiometry, eV per atom: 0.130
Magnetization, Bohr magnetons per cell: 0.005
E_tot, eV/f.u.: -23.415
Mass density, g cm⁻³: 4.0

Lattice parameters (Å, degrees): 4.851 11.024 5.902 90.00 90.00 90.00
Space group Ama2 (No. 40)
Inequivalent atoms, fractional coordinates:
Zr (0.250, 0.070, 0.000) (multiplicity 4)
Sc (0.250, 0.313, 0.746) (multiplicity 4)
Al (0.250, 0.075, 0.504) (multiplicity 4)
Al (0.250, 0.336, 0.248) (multiplicity 4)

---

## NaTmMgTe3 (PBE-GGA)

Data for NaTmMgTe3 after structural relaxation.

Magnetization, Bohr magnetons per cell: 0.002
E_tot, eV/f.u.: -23.295
Mass density, g cm⁻³: 5.2

Lattice parameters (Å, degrees): 4.374 14.950 11.685 90.00 90.00 90.00
Space group Cmcm (No. 63)
Inequivalent atoms, fractional coordinates:
Na (0.000, 0.240, 0.250) (multiplicity 4)
Tm (0.000, 0.000, 0.000) (multiplicity 4)
Mg (0.000, 0.473, 0.750) (multiplicity 4)
Te (0.000, 0.088, 0.750) (multiplicity 4)
Te (0.000, 0.364, 0.561) (multiplicity 8)

---

## SmAgGeSeS2 (PBE-GGA)

Data for SmAgGeSeS2 after structural relaxation.

Magnetization, Bohr magnetons per cell: 0.014
E_tot, eV/f.u.: -28.618
Mass density, g cm⁻³: 5.7

Lattice parameters (Å, degrees): 3.943 12.859 10.956 90.00 90.00 90.00
Space group Cmcm (No. 63)
Inequivalent atoms, fractional coordinates:
Sm (0.000, 0.000, 0.000) (multiplicity 4)
Ag (0.000, 0.476, 0.250) (multiplicity 4)
Ge (0.000, 0.224, 0.750) (multiplicity 4)
Se (0.000, 0.116, 0.250) (multiplicity 4)
S (0.000, 0.357, 0.071) (multiplicity 8)

---

## DyTm2Sn3Pd3 (PBE-GGA)

Data for DyTm2Sn3Pd3 after structural relaxation.

Magnetization, Bohr magnetons per cell: 0.004
E_tot, eV/f.u.: -49.449
Mass density, g cm⁻³: 10.1

Lattice parameters (Å, degrees): 3.843 13.227 7.610 90.00 90.00 90.00
Space group Amm2 (No. 38)
Inequivalent atoms, fractional coordinates:
Dy (0.000, 0.000, 0.000) (multiplicity 2)
Tm (0.000, 0.201, 0.397) (multiplicity 4)
Sn (0.500, 0.000, 0.334) (multiplicity 2)
Sn (0.500, 0.132, 0.730) (multiplicity 4)
Pd (0.000, 0.000, 0.596) (multiplicity 2)
Pd (0.500, 0.168, 0.099) (multiplicity 4)

---

## SmSnOs (PBE-GGA)

Data for SmSnOs after structural relaxation.

Magnetization, Bohr magnetons per cell: 0.146
E_tot, eV/f.u.: -17.454
Mass density, g cm⁻³: 9.6

Lattice parameters (Å, degrees): 6.828 6.828 6.828 90.00 90.00 90.00
Space group F-43m (No. 216)
Inequivalent atoms, fractional coordinates:
Sm (0.000, 0.000, 0.000) (multiplicity 4)
Sn (0.250, 0.250, 0.250) (multiplicity 4)
Os (0.250, 0.250, 0.750) (multiplicity 4)

---

## NaTlBiIr (PBE-GGA)

Data for NaTlBiIr after structural relaxation.

Energy above the lowest structure with this stoichiometry, eV per atom: 0.211
Magnetization, Bohr magnetons per cell: 0.001
E_tot, eV/f.u.: -15.099
Mass density, g cm⁻³: 11.4

Lattice parameters (Å, degrees): 7.158 7.158 7.158 90.00 90.00 90.00
Space group F-43m (No. 216)
Inequivalent atoms, fractional coordinates:
Na (0.000, 0.000, 0.000) (multiplicity 4)
Tl (0.250, 0.250, 0.250) (multiplicity 4)
Bi (0.000, 0.000, 0.500) (multiplicity 4)
Ir (0.250, 0.250, 0.750) (multiplicity 4)